Record 1
A relaxed Ca3YTl2F12 crystal. Source: Alexandria via LeMat-Bulk, functional PBE.

- uncorrected energy (eV per atom) = -5.386
- size of the total moment (μB/atom) = 0.0745
- symmetry = R-3m

Cell lengths 8.327, 8.327, 8.327 Å; angles 56.32, 56.32, 56.32 degrees
Atoms (fractional coordinates):
Ca (0.000, 0.500, 0.500)
Ca (0.500, 0.000, 0.500)
Ca (0.500, 0.500, 0.000)
Y (0.500, 0.500, 0.500)
Tl (0.077, 0.077, 0.077)
Tl (0.923, 0.923, 0.923)
F (0.143, 0.143, 0.616)
F (0.143, 0.616, 0.143)
F (0.185, 0.560, 0.560)
F (0.384, 0.857, 0.857)
F (0.440, 0.440, 0.815)
F (0.440, 0.815, 0.440)
F (0.560, 0.185, 0.560)
F (0.560, 0.560, 0.185)
F (0.616, 0.143, 0.143)
F (0.815, 0.440, 0.440)
F (0.857, 0.384, 0.857)
F (0.857, 0.857, 0.384)

Record 2
A relaxed Ca2TmF8 crystal. Source: Alexandria via LeMat-Bulk, functional PBE.

- uncorrected energy (eV per atom) = -5.658
- size of the total moment (μB/atom) = 0.0859
- symmetry = Immm

Cell lengths 6.746, 6.746, 6.746 Å; angles 146.73, 126.84, 64.17 degrees
Atoms (fractional coordinates):
Ca (0.186, 0.186, 0.000)
Ca (0.814, 0.814, 0.000)
Tm (0.500, 0.500, 0.000)
F (0.083, 0.343, 0.740)
F (0.167, 0.000, 0.167)
F (0.389, 0.889, 0.500)
F (0.397, 0.657, 0.740)
F (0.603, 0.343, 0.260)
F (0.611, 0.111, 0.500)
F (0.833, 0.000, 0.833)
F (0.917, 0.657, 0.260)

Record 3
A relaxed CaTmF6 crystal. Source: Alexandria via LeMat-Bulk, functional PBE.

- uncorrected energy (eV per atom) = -5.683
- size of the total moment (μB/atom) = 0.1312
- symmetry = P4_2/m

Cell lengths 5.407, 5.407, 7.856 Å; angles 90.00, 90.00, 90.00 degrees
Atoms (fractional coordinates):
Ca (0.000, 0.000, 0.000)
Ca (0.000, 0.000, 0.500)
Tm (0.500, 0.500, 0.250)
Tm (0.500, 0.500, 0.750)
F (0.221, 0.236, 0.178)
F (0.221, 0.236, 0.822)
F (0.236, 0.779, 0.322)
F (0.236, 0.779, 0.678)
F (0.324, 0.331, 0.500)
F (0.331, 0.676, 0.000)
F (0.669, 0.324, 0.000)
F (0.676, 0.669, 0.500)
F (0.764, 0.221, 0.322)
F (0.764, 0.221, 0.678)
F (0.779, 0.764, 0.178)
F (0.779, 0.764, 0.822)

Record 4
A relaxed Ca2TmF6 crystal. Source: Alexandria via LeMat-Bulk, functional PBE.

- uncorrected energy (eV per atom) = -5.887
- size of the total moment (μB/atom) = 0.0443
- symmetry = P4_2/mnm

Cell lengths 5.160, 5.160, 11.155 Å; angles 90.00, 90.00, 90.00 degrees
Atoms (fractional coordinates):
Ca (0.000, 0.000, 0.163)
Ca (0.000, 0.000, 0.837)
Ca (0.500, 0.500, 0.337)
Ca (0.500, 0.500, 0.663)
Tm (0.000, 0.000, 0.500)
Tm (0.500, 0.500, 0.000)
F (0.181, 0.181, 0.333)
F (0.181, 0.181, 0.667)
F (0.202, 0.202, 0.000)
F (0.298, 0.702, 0.500)
F (0.319, 0.681, 0.167)
F (0.319, 0.681, 0.833)
F (0.681, 0.319, 0.167)
F (0.681, 0.319, 0.833)
F (0.702, 0.298, 0.500)
F (0.798, 0.798, 0.000)
F (0.819, 0.819, 0.333)
F (0.819, 0.819, 0.667)

Record 5
A relaxed Ca2UF8 crystal. Source: Alexandria via LeMat-Bulk, functional PBE.

- uncorrected energy (eV per atom) = -6.494
- size of the total moment (μB/atom) = 0.1818
- symmetry = C2/m
- polymorph energy (0 for the lowest one) (meV per atom) = 0

Cell lengths 7.309, 7.309, 5.500 Å; angles 107.25, 107.25, 31.72 degrees
Atoms (fractional coordinates):
Ca (0.191, 0.191, 0.193)
Ca (0.809, 0.809, 0.807)
U (0.500, 0.500, 0.500)
F (0.037, 0.037, 0.316)
F (0.217, 0.217, 0.813)
F (0.342, 0.342, 0.549)
F (0.413, 0.413, 0.097)
F (0.587, 0.587, 0.903)
F (0.658, 0.658, 0.451)
F (0.783, 0.783, 0.187)
F (0.963, 0.963, 0.684)

Record 6
A relaxed CaUF6 crystal. Source: Alexandria via LeMat-Bulk, functional PBE.

- uncorrected energy (eV per atom) = -6.691
- size of the total moment (μB/atom) = 0.2500
- symmetry = P-6m2

Cell lengths 4.090, 4.090, 7.136 Å; angles 90.00, 90.00, 120.00 degrees
Atoms (fractional coordinates):
Ca (0.000, 0.000, 0.000)
U (0.667, 0.333, 0.500)
F (0.000, 0.000, 0.337)
F (0.000, 0.000, 0.663)
F (0.333, 0.667, 0.000)
F (0.333, 0.667, 0.500)
F (0.667, 0.333, 0.201)
F (0.667, 0.333, 0.799)

Record 7
A relaxed Ca2UF8 crystal. Source: Alexandria via LeMat-Bulk, functional PBE.

- uncorrected energy (eV per atom) = -6.413
- size of the total moment (μB/atom) = 0.1818
- symmetry = Immm
- polymorph energy (0 for the lowest one) (meV per atom) = 81

Cell lengths 6.792, 6.792, 6.792 Å; angles 147.70, 125.96, 64.37 degrees
Atoms (fractional coordinates):
Ca (0.172, 0.172, 0.000)
Ca (0.828, 0.828, 0.000)
U (0.500, 0.500, 0.000)
F (0.079, 0.343, 0.736)
F (0.200, 0.000, 0.200)
F (0.370, 0.870, 0.500)
F (0.393, 0.657, 0.736)
F (0.607, 0.343, 0.264)
F (0.630, 0.130, 0.500)
F (0.800, 0.000, 0.800)
F (0.921, 0.657, 0.264)

Record 8
A relaxed CaU2F8 crystal. Source: Alexandria via LeMat-Bulk, functional PBE.

- uncorrected energy (eV per atom) = -7.067
- size of the total moment (μB/atom) = 0.5455
- symmetry = Immm

Cell lengths 7.195, 7.195, 7.195 Å; angles 146.85, 135.13, 56.92 degrees
Atoms (fractional coordinates):
Ca (0.000, 0.000, 0.000)
U (0.325, 0.325, 0.000)
U (0.675, 0.675, 0.000)
F (0.120, 0.860, 0.261)
F (0.196, 0.696, 0.500)
F (0.265, 0.500, 0.765)
F (0.401, 0.140, 0.261)
F (0.599, 0.860, 0.739)
F (0.735, 0.500, 0.235)
F (0.804, 0.304, 0.500)
F (0.880, 0.140, 0.739)

Which of these has the highest uncorrected energy? Ca3YTl2F12

uncorrected energy of number 8 (CaU2F8)? -7.067 eV per atom